Entry 1:
DFT (GGA-PBEsol) results for an optimized crystal structure of SiAs2Pb.

Values from the calculation:
Volume   20.95 A^3/atom
Symmetry   No. 139
Formation energy without anion corrections   0.462 eV/atom
DOS(E_F)   1.91 states/eV/cell

Cell: 5.3050 5.3050 5.3050 Å, 130.74 130.74 72.23°
Element x y z (fractional)
Si 0.0000 0.0000 0.0000
As 0.2500 0.7500 0.5000
As 0.7500 0.2500 0.5000
Pb 0.5000 0.5000 0.0000

---

Entry 2:
DFT (GGA-PBEsol) results for an optimized crystal structure of Si2AsPb.

Values from the calculation:
Volume   19.78 A^3/atom
Symmetry   No. 216
Formation energy without anion corrections   0.547 eV/atom
DOS(E_F)   1.79 states/eV/cell

Cell: 4.8184 4.8184 4.8184 Å, 60.00 60.00 60.00°
Element x y z (fractional)
Si 0.0000 0.0000 0.0000
Si 0.2500 0.2500 0.2500
As 0.7500 0.7500 0.7500
Pb 0.5000 0.5000 0.5000

---

Entry 3:
DFT (GGA-PBEsol) results for an optimized crystal structure of SiAs2Pb.

Values from the calculation:
Volume   20.64 A^3/atom
Symmetry   No. 123
Formation energy without anion corrections   0.447 eV/atom
DOS(E_F)   2.63 states/eV/cell

Cell: 4.9427 4.9427 3.3795 Å, 90.00 90.00 90.00°
Element x y z (fractional)
Si 0.0000 0.0000 0.0000
As 0.0000 0.5000 0.5000
As 0.5000 0.0000 0.5000
Pb 0.5000 0.5000 0.0000

---

Entry 4:
DFT (GGA-PBEsol) results for an optimized crystal structure of SiAsPb.

Values from the calculation:
Volume   25.00 A^3/atom
Symmetry   No. 216
Formation energy without anion corrections   0.534 eV/atom
DOS(E_F)   2.24 states/eV/cell

Cell: 4.7334 4.7334 4.7334 Å, 60.00 60.00 60.00°
Element x y z (fractional)
Si 0.0000 0.0000 0.0000
As 0.2500 0.2500 0.2500
Pb 0.5000 0.5000 0.5000

---

Entry 5:
DFT (GGA-PBEsol) results for an optimized crystal structure of Si2AsPb.

Values from the calculation:
Volume   20.47 A^3/atom
Symmetry   No. 8
Formation energy without anion corrections   0.206 eV/atom
DOS(E_F)   1.98 states/eV/cell

Cell: 3.7207 3.7207 7.1383 Å, 105.25 105.25 60.42°
Element x y z (fractional)
Si 0.0000 0.0000 0.0000
Si 0.7264 0.7264 0.1808
As 0.4616 0.4616 0.3882
Pb 0.2337 0.2337 0.7023

---

Entry 6:
DFT (GGA-PBEsol) results for an optimized crystal structure of SiAs2Pb.

Values from the calculation:
Volume   21.14 A^3/atom
Symmetry   No. 166
Formation energy without anion corrections   0.053 eV/atom
DOS(E_F)   1.57 states/eV/cell

Cell: 7.1010 7.1010 7.1010 Å, 31.06 31.06 31.06°
Element x y z (fractional)
Si 0.0000 0.0000 0.0000
As 0.2674 0.2674 0.2674
As 0.7326 0.7326 0.7326
Pb 0.5000 0.5000 0.5000

---

Entry 7:
DFT (GGA-PBEsol) results for an optimized crystal structure of SiAsPb2.

Values from the calculation:
Volume   23.37 A^3/atom
Symmetry   No. 216
Formation energy without anion corrections   0.430 eV/atom
DOS(E_F)   1.82 states/eV/cell

Cell: 5.0943 5.0943 5.0943 Å, 60.00 60.00 60.00°
Element x y z (fractional)
Si 0.0000 0.0000 0.0000
As 0.2500 0.2500 0.2500
Pb 0.5000 0.5000 0.5000
Pb 0.7500 0.7500 0.7500

---

Entry 8:
DFT (GGA-PBEsol) results for an optimized crystal structure of SiTeAsPb2.

Values from the calculation:
Volume   28.90 A^3/atom
Symmetry   No. 123
Formation energy without anion corrections   0.617 eV/atom
DOS(E_F)   3.66 states/eV/cell

Cell: 5.3012 5.3012 5.1418 Å, 90.00 90.00 90.00°
Element x y z (fractional)
Si 0.0000 0.0000 0.0000
Te 0.0000 0.0000 0.5000
As 0.5000 0.5000 0.5000
Pb 0.0000 0.5000 0.0000
Pb 0.5000 0.0000 0.0000

---

Entry 9:
DFT (GGA-PBEsol) results for an optimized crystal structure of Ta2SnAsPb.

Values from the calculation:
Volume   28.13 A^3/atom
DFT formation energy   1958 meV/atom
Symmetry   No. 123
DOS(E_F)   7.35 states/eV/cell

Cell: 5.0867 5.0867 5.4354 Å, 90.00 90.00 90.00°
Element x y z (fractional)
Ta 0.0000 0.5000 0.0000
Ta 0.5000 0.0000 0.0000
Sn 0.0000 0.0000 0.0000
As 0.5000 0.5000 0.5000
Pb 0.0000 0.0000 0.5000

---

Entry 10:
DFT (GGA-PBEsol) results for an optimized crystal structure of SrAs2Pb.

Values from the calculation:
Volume   28.65 A^3/atom
DFT formation energy   -445 meV/atom
Symmetry   No. 10
DOS(E_F)   1.46 states/eV/cell

Cell: 3.9901 4.4073 6.5170 Å, 90.00 90.36 90.00°
Element x y z (fractional)
Sr 0.0000 0.0000 0.0000
As 0.4971 0.5000 0.8124
As 0.5029 0.5000 0.1876
Pb 0.5000 0.0000 0.5000

---

Entry 11:
DFT (GGA-PBEsol) results for an optimized crystal structure of SrAs3Pb.

Values from the calculation:
Volume   30.50 A^3/atom
DFT formation energy   322 meV/atom
Symmetry   No. 221
DOS(E_F)   5.78 states/eV/cell

Cell: 5.3425 5.3425 5.3425 Å, 90.00 90.00 90.00°
Element x y z (fractional)
Sr 0.0000 0.0000 0.0000
As 0.0000 0.5000 0.5000
As 0.5000 0.0000 0.5000
As 0.5000 0.5000 0.0000
Pb 0.5000 0.5000 0.5000

---

Entry 12:
DFT (GGA-PBEsol) results for an optimized crystal structure of SrAsPb2.

Values from the calculation:
Volume   29.71 A^3/atom
DFT formation energy   -459 meV/atom
Symmetry   No. 38
DOS(E_F)   1.32 states/eV/cell

Cell: 4.0728 6.6436 6.6436 Å, 41.38 90.00 90.00°
Element x y z (fractional)
Sr 0.0000 0.0000 0.0000
As 0.5000 0.4600 0.4600
Pb 0.0000 0.2818 0.2818
Pb 0.5000 0.6916 0.6916

---

Entry 13:
DFT (GGA-PBEsol) results for an optimized crystal structure of SrAs2Pb.

Values from the calculation:
Volume   27.44 A^3/atom
DFT formation energy   -300 meV/atom
Symmetry   No. 99
DOS(E_F)   3.81 states/eV/cell

Cell: 4.2299 4.2299 6.1355 Å, 90.00 90.00 90.00°
Element x y z (fractional)
Sr 0.0000 0.0000 0.0000
As 0.0000 0.0000 0.5018
As 0.5000 0.5000 0.9274
Pb 0.5000 0.5000 0.4112

---

Entry 14:
DFT (GGA-PBEsol) results for an optimized crystal structure of SrAs2Pb.

Values from the calculation:
Volume   25.41 A^3/atom
DFT formation energy   -368 meV/atom
Symmetry   No. 123
DOS(E_F)   1.75 states/eV/cell

Cell: 4.0115 4.0115 6.3170 Å, 90.00 90.00 90.00°
Element x y z (fractional)
Sr 0.0000 0.0000 0.0000
As 0.5000 0.5000 0.2249
As 0.5000 0.5000 0.7751
Pb 0.0000 0.0000 0.5000

---

Entry 15:
DFT (GGA-PBEsol) results for an optimized crystal structure of SrAs2Pb.

Values from the calculation:
Volume   30.74 A^3/atom
DFT formation energy   -306 meV/atom
Symmetry   No. 122
DOS(E_F)   0.44 states/eV/cell

Cell: 6.8667 6.8667 6.8667 Å, 113.45 113.45 101.77°
Element x y z (fractional)
Sr 0.0000 0.0000 0.0000
Sr 0.7500 0.2500 0.5000
As 0.1691 0.6250 0.0441
As 0.3750 0.4191 0.5441
As 0.5809 0.1250 0.9559
As 0.8750 0.8309 0.4559
Pb 0.2500 0.7500 0.5000
Pb 0.5000 0.5000 0.0000

---

Entry 16:
DFT (GGA-PBEsol) results for an optimized crystal structure of SrAs2Pb.

Values from the calculation:
Volume   24.55 A^3/atom
DFT formation energy   -427 meV/atom
Symmetry   No. 123
DOS(E_F)   1.80 states/eV/cell

Cell: 4.8480 4.8480 4.1782 Å, 90.00 90.00 90.00°
Element x y z (fractional)
Sr 0.0000 0.0000 0.0000
As 0.0000 0.5000 0.5000
As 0.5000 0.0000 0.5000
Pb 0.5000 0.5000 0.0000

---

Entry 17:
DFT (GGA-PBEsol) results for an optimized crystal structure of Sr2As2Pb.

Values from the calculation:
Volume   31.09 A^3/atom
DFT formation energy   -401 meV/atom
Symmetry   No. 139
DOS(E_F)   3.67 states/eV/cell

Cell: 6.6615 6.6615 6.6615 Å, 132.96 132.96 68.72°
Element x y z (fractional)
Sr 0.2500 0.7500 0.5000
Sr 0.7500 0.2500 0.5000
As 0.1100 0.1100 0.0000
As 0.8900 0.8900 0.0000
Pb 0.5000 0.5000 0.0000

---

Entry 18:
DFT (GGA-PBEsol) results for an optimized crystal structure of SrAsPb2.

Values from the calculation:
Volume   29.27 A^3/atom
DFT formation energy   -325 meV/atom
Symmetry   No. 69
DOS(E_F)   2.09 states/eV/cell

Cell: 6.6324 6.6117 4.4885 Å, 70.44 69.94 39.62°
Element x y z (fractional)
Sr 0.0000 0.0000 0.0000
As 0.5000 0.5000 0.5000
Pb 0.0000 0.5000 0.5000
Pb 0.5000 0.0000 0.0000

---

Entry 19:
DFT (GGA-PBEsol) results for an optimized crystal structure of TaAs2Pb.

Values from the calculation:
Volume   21.89 A^3/atom
DFT formation energy   -46 meV/atom
Symmetry   No. 44
DOS(E_F)   2.02 states/eV/cell

Cell: 7.5644 7.5644 7.5644 Å, 154.11 152.35 38.24°
Element x y z (fractional)
Ta 0.0000 0.0000 0.0000
As 0.1336 0.6336 0.5000
As 0.4321 0.4321 0.0000
Pb 0.7567 0.2567 0.5000

---

Entry 20:
DFT (GGA-PBEsol) results for an optimized crystal structure of TaAs2Pb.

Values from the calculation:
Volume   19.98 A^3/atom
DFT formation energy   -162 meV/atom
Symmetry   No. 123
DOS(E_F)   2.78 states/eV/cell

Cell: 3.3096 3.3096 7.2977 Å, 90.00 90.00 90.00°
Element x y z (fractional)
Ta 0.0000 0.0000 0.0000
As 0.5000 0.5000 0.1913
As 0.5000 0.5000 0.8087
Pb 0.0000 0.0000 0.5000